This record from Alexandria via LeMat-Bulk describes a relaxed structure of TbDyPb. The functional is PBE.

a b c (Å): 3.336 3.336 18.014
angles (deg): 90.00 90.00 90.00
Space group I4mm (No. 107)
Unique sites:
Tb  0.000  0.000  0.000 (multiplicity 2)
Dy  0.000  0.000  0.808 (multiplicity 2)
Pb  0.000  0.000  0.634 (multiplicity 2)

## Properties
Its magnetization is 1.74 μB/cell. Its energy relative to the lowest polymorph listed for this composition is 679 meV per atom.

This record from Alexandria via LeMat-Bulk describes a relaxed structure of Tb2DyPb3. The functional is PBE.

a b c (Å): 16.968 6.420 6.417
angles (deg): 90.00 100.85 90.00
Space group C2/c (No. 15)
Unique sites:
Tb  0.167  0.125  0.084 (multiplicity 8)
Dy  0.000  0.375  0.250 (multiplicity 4)
Pb  0.000  0.124  0.750 (multiplicity 4)
Pb  0.166  0.375  0.583 (multiplicity 8)

## Properties
Its magnetization is 0.00 μB/cell. Its energy relative to the lowest polymorph listed for this composition is 0 meV per atom.

This record from Alexandria via LeMat-Bulk describes a relaxed structure of Tb6Dy2Tm3Pb. The functional is PBE.

a b c (Å): 6.077 10.532 11.660
angles (deg): 90.00 100.02 90.00
Space group C2/m (No. 12)
Unique sites:
Tb  0.246  0.000  0.248 (multiplicity 4)
Tb  0.248  0.165  0.750 (multiplicity 8)
Dy  0.000  0.334  0.500 (multiplicity 4)
Tm  0.000  0.168  0.000 (multiplicity 4)
Tm  0.000  0.500  0.000 (multiplicity 2)
Pb  0.000  0.000  0.500 (multiplicity 2)

## Properties
Its magnetization is 0.00 μB/cell. As for the total energy: -109.4 eV per cell.

This record from Alexandria via LeMat-Bulk describes a relaxed structure of Dy4TePb2. The functional is PBE.

a b c (Å): 6.570 6.531 10.212
angles (deg): 90.00 105.04 90.00
Space group P2_1/m (No. 11)
Unique sites:
Dy  0.025  0.250  0.340 (multiplicity 2)
Dy  0.113  0.250  0.952 (multiplicity 2)
Dy  0.471  0.000  0.232 (multiplicity 4)
Te  0.109  0.250  0.656 (multiplicity 2)
Pb  0.302  0.750  0.955 (multiplicity 2)
Pb  0.418  0.750  0.493 (multiplicity 2)

## Properties
Its magnetization is 0.00 μB/cell. As for the total energy: -65.7 eV per cell.

This record from Alexandria via LeMat-Bulk describes a relaxed structure of DyTe4Pb2. The functional is PBE.

a b c (Å): 4.385 15.163 14.711
angles (deg): 90.00 90.00 90.00
Space group Cmcm (No. 63)
Unique sites:
Dy  0.000  0.108  0.250 (multiplicity 4)
Te  0.000  0.000  0.000 (multiplicity 4)
Te  0.000  0.287  0.637 (multiplicity 8)
Te  0.000  0.465  0.250 (multiplicity 4)
Pb  0.000  0.366  0.065 (multiplicity 8)

## Properties
Its magnetization is 0.00 μB/cell. As for the total energy: -115.3 eV per cell.

This record from Alexandria via LeMat-Bulk describes a relaxed structure of Dy5Te4Pb. The functional is PBE.

a b c (Å): 9.804 9.804 6.175
angles (deg): 90.00 90.00 90.00
Space group I4/m (No. 87)
Unique sites:
Dy  0.000  0.000  0.000 (multiplicity 2)
Dy  0.101  0.295  0.500 (multiplicity 8)
Te  0.098  0.302  0.000 (multiplicity 8)
Pb  0.000  0.000  0.500 (multiplicity 2)

## Properties
Its magnetization is 0.00 μB/cell. Its energy relative to the lowest polymorph listed for this composition is 0 meV per atom.

This record from Alexandria via LeMat-Bulk describes a relaxed structure of DyTe2Pb. The functional is PBE.

a b c (Å): 4.1864 4.1864 30.1441
angles (deg): 90.00 90.00 120.00
Space group R-3m (No. 166, hexagonal axes)
Unique sites:
Dy  0.0000  0.0000  0.0000 (multiplicity 3)
Te  0.0000  0.0000  0.3947 (multiplicity 6)
Pb  0.0000  0.0000  0.5000 (multiplicity 3)

## Properties
Its magnetization is 0.00 μB/cell. As for the total energy: -53.0 eV per cell.

This record from Alexandria via LeMat-Bulk describes a relaxed structure of Dy4Te4Pb. The functional is PBE.

a b c (Å): 14.665 4.358 10.809
angles (deg): 90.00 120.20 90.00
Space group C2/m (No. 12)
Unique sites:
Dy  0.097  0.000  0.399 (multiplicity 4)
Dy  0.199  0.500  0.803 (multiplicity 4)
Te  0.102  0.000  0.901 (multiplicity 4)
Te  0.197  0.500  0.298 (multiplicity 4)
Pb  0.000  0.500  0.500 (multiplicity 2)

## Properties
Its magnetization is 0.00 μB/cell. As for the total energy: -91.1 eV per cell.

> Number 8 is which compound?

Dy4Te4Pb

> Which of these has the highest magnetization?

TbDyPb